Entry from Alexandria: a crystal of ScIn3 relaxed with PBEsol (SCAN).

## Properties
Symmetry: Pmmn, No. 59

Lattice parameters (Å, degrees): 6.117 15.199 5.728 90.00 90.00 90.00
Fractional coordinates of all 24 atoms:
Sc 0.250 0.087 0.144
Sc 0.250 0.413 0.144
Sc 0.250 0.750 0.575
Sc 0.750 0.250 0.425
Sc 0.750 0.587 0.856
Sc 0.750 0.913 0.856
In 0.002 0.585 0.354
In 0.002 0.915 0.354
In 0.005 0.750 0.061
In 0.250 0.250 0.448
In 0.250 0.581 0.854
In 0.250 0.919 0.854
In 0.495 0.750 0.061
In 0.498 0.585 0.354
In 0.498 0.915 0.354
In 0.502 0.085 0.646
In 0.502 0.415 0.646
In 0.505 0.250 0.939
In 0.750 0.081 0.146
In 0.750 0.419 0.146
In 0.750 0.750 0.552
In 0.995 0.250 0.939
In 0.998 0.085 0.646
In 0.998 0.415 0.646

=====

Entry from Alexandria: a crystal of Sc3In relaxed with PBEsol (SCAN).

## Properties
Symmetry: Pmmm, No. 47
Energy above the lowest structure with this stoichiometry in meV per atom: 110

Lattice parameters (Å, degrees): 3.297 4.387 6.225 90.00 90.00 90.00
Fractional coordinates of all 4 atoms:
Sc 0.000 0.000 0.000
Sc 0.500 0.500 0.249
Sc 0.500 0.500 0.751
In 0.000 0.000 0.500

=====

Entry from Alexandria: a crystal of ScIn relaxed with PBEsol (SCAN).

## Properties
Symmetry: Pbcm, No. 57

Lattice parameters (Å, degrees): 10.028 8.723 6.100 90.00 90.00 90.00
Fractional coordinates of all 24 atoms:
Sc 0.117 0.250 0.000
Sc 0.117 0.250 0.500
Sc 0.169 0.640 0.250
Sc 0.169 0.860 0.750
Sc 0.368 0.043 0.250
Sc 0.368 0.457 0.750
Sc 0.632 0.543 0.250
Sc 0.632 0.957 0.750
Sc 0.831 0.140 0.250
Sc 0.831 0.360 0.750
Sc 0.883 0.750 0.000
Sc 0.883 0.750 0.500
In 0.082 0.546 0.750
In 0.082 0.954 0.250
In 0.356 0.109 0.750
In 0.356 0.391 0.250
In 0.411 0.750 0.000
In 0.411 0.750 0.500
In 0.589 0.250 0.000
In 0.589 0.250 0.500
In 0.644 0.609 0.750
In 0.644 0.891 0.250
In 0.918 0.046 0.750
In 0.918 0.454 0.250

=====

Entry from Alexandria: a crystal of ScIn2 relaxed with PBEsol (SCAN).

## Properties
Symmetry: Cmcm, No. 63

Lattice parameters (Å, degrees): 7.550 7.550 4.170 90.00 90.00 145.88
Fractional coordinates of all 6 atoms:
Sc 0.087 0.913 0.750
Sc 0.913 0.087 0.250
In 0.259 0.741 0.250
In 0.426 0.574 0.750
In 0.574 0.426 0.250
In 0.741 0.259 0.750

=====

Entry from Alexandria: a crystal of Sc3In relaxed with PBEsol (SCAN).

## Properties
Symmetry: I4/mmm, No. 139
Energy above the lowest structure with this stoichiometry in meV per atom: 70

Lattice parameters (Å, degrees): 5.611 5.611 5.611 134.52 134.52 66.28
Fractional coordinates of all 4 atoms:
Sc 0.000 0.000 0.000
Sc 0.250 0.750 0.500
Sc 0.750 0.250 0.500
In 0.500 0.500 0.000

=====

Entry from Alexandria: a crystal of ScIn3 relaxed with PBEsol (SCAN).

## Properties
Symmetry: Pm-3m, No. 221

Lattice parameters (Å, degrees): 4.442 4.442 4.442 90.00 90.00 90.00
Fractional coordinates of all 4 atoms:
Sc 0.000 0.000 0.000
In 0.000 0.500 0.500
In 0.500 0.000 0.500
In 0.500 0.500 0.000

=====

Entry from Alexandria: a crystal of Sc3In relaxed with PBEsol (SCAN).

## Properties
Symmetry: P4/mmm, No. 123
Energy above the lowest structure with this stoichiometry in meV per atom: 112

Lattice parameters (Å, degrees): 3.280 3.280 8.416 90.00 90.00 90.00
Fractional coordinates of all 4 atoms:
Sc 0.000 0.000 0.000
Sc 0.500 0.500 0.261
Sc 0.500 0.500 0.739
In 0.000 0.000 0.500

=====

Entry from Alexandria: a crystal of Sc5In3 relaxed with PBEsol (SCAN).

## Properties
Symmetry: Cmmm, No. 65
Energy above the lowest structure with this stoichiometry in meV per atom: 35

Lattice parameters (Å, degrees): 6.220 6.220 4.564 90.00 90.00 94.79
Fractional coordinates of all 8 atoms:
Sc 0.000 0.000 0.000
Sc 0.000 0.500 0.000
Sc 0.264 0.264 0.500
Sc 0.500 0.000 0.000
Sc 0.736 0.736 0.500
In 0.231 0.769 0.500
In 0.500 0.500 0.000
In 0.769 0.231 0.500

=====

Number 1: ΔH_f (0 K) -0.3615 eV/atom, E_tot -115.84 eV/f.u., size of the total moment 0.000 μB per cell. Number 2: ΔH_f (0 K) -0.2955 eV/atom, E_tot -77.28 eV/f.u., size of the total moment 0.778 μB per cell. Number 3: ΔH_f (0 K) -0.5342 eV/atom, E_tot -48.69 eV/f.u., size of the total moment 0.000 μB per cell. Number 4: ΔH_f (0 K) -0.4077 eV/atom, E_tot -82.23 eV/f.u., size of the total moment 0.000 μB per cell. Number 5: ΔH_f (0 K) -0.3354 eV/atom, E_tot -77.44 eV/f.u., size of the total moment 0.022 μB per cell. Number 6: ΔH_f (0 K) -0.4193 eV/atom, E_tot -116.07 eV/f.u., size of the total moment 0.000 μB per cell. Number 7: ΔH_f (0 K) -0.2942 eV/atom, E_tot -77.27 eV/f.u., size of the total moment 0.998 μB per cell. Number 8: ΔH_f (0 K) -0.4728 eV/atom, E_tot -175.13 eV/f.u., size of the total moment 2.566 μB per cell.